P | {"formula": "BMoW3", "functional": "PBE-GGA", "state": "optimized geometry", "lattice_angstrom": [[3.1236, 0.0000, 0.0000], [0.0000, 6.8124, -3.1645], [0.0000, -0.2989, 6.8138]], "species": ["Mo", "Mo", "B", "B", "W", "W", "W", "W", "W", "W"], "frac_coords": [[0.6955, 0.0830, 0.5599], [0.1955, 0.3386, 0.9941], [0.6955, 0.6578, 0.6976], [0.1955, 0.7637, 0.8565], [0.6955, 0.6884, 0.0769], [0.6955, 0.3843, 0.3274], [0.1955, 0.7332, 0.4772], [0.1955, 0.0373, 0.2267], [0.6955, 0.9991, 0.8870], [0.1955, 0.4225, 0.6670]]}

Q | {"formula": "BMoW3", "functional": "PBE-GGA", "state": "optimized geometry", "lattice_angstrom": [[4.7146, 0.0000, 0.0000], [0.0000, 4.7146, 0.0000], [0.0000, 0.0000, 4.7146]], "species": ["W", "W", "W", "Mo", "B"], "frac_coords": [[0.0000, 0.0000, 0.5000], [0.5000, 0.0000, 0.0000], [0.0000, 0.5000, 0.0000], [0.0000, 0.0000, 0.0000], [0.5000, 0.5000, 0.5000]]}

R | {"formula": "BMoW3", "functional": "PBE-GGA", "state": "optimized geometry", "lattice_angstrom": [[-1.1471, 0.9360, -3.9382], [1.9986, -3.4286, -1.3970], [-3.5201, -2.2517, 0.4901]], "species": ["W", "W", "W", "B", "Mo"], "frac_coords": [[0.0000, 0.0000, 0.5000], [0.0000, 0.5000, 0.0000], [0.5000, 0.0000, 0.0000], [0.0000, 0.0000, 0.0000], [0.5000, 0.5000, 0.5000]]}

Order from most stable to least stable according to the calculation: P, R, Q